# 1
PmErPu2N4 after structural relaxation. Source: Alexandria via LeMat-Bulk, functional PBE-GGA.

Cell and atoms, written as POSCAR:
```
PmErPu2N4
1.0
6.023 0.000 0.000
0.000 3.503 0.000
-2.035 0.000 5.728
Pm Er Pu N
1 1 2 4
direct
0.000 0.000 0.000
0.000 0.500 0.500
0.500 0.000 0.500
0.500 0.500 0.000
0.260 0.000 0.744
0.266 0.500 0.265
0.734 0.500 0.735
0.740 0.000 0.256
```

Calculated values
The calculation puts the mass density at 11.764 Mg/m³. Its final energy is -82.67 eV/f.u. As for the formation energy (no corrections): -1424 meV per atom. The value obtained for the density of states at the Fermi level is 12.77 states/eV/cell. The total magnetization is 9.4 Bohr magnetons per cell.

***

# 2
PmEr2ReN4 after structural relaxation. Source: Alexandria via LeMat-Bulk, functional PBE-GGA.

Cell and atoms, written as POSCAR:
```
PmEr2ReN4
1.0
1.720 -5.823 0.000
1.720 5.823 0.000
0.000 0.000 11.522
Pm Er Re N
2 4 2 8
direct
0.121 0.879 0.750
0.879 0.121 0.250
0.369 0.631 0.539
0.369 0.631 0.961
0.631 0.369 0.039
0.631 0.369 0.461
0.141 0.859 0.250
0.859 0.141 0.750
0.000 0.000 0.000
0.000 0.000 0.500
0.263 0.737 0.127
0.263 0.737 0.373
0.443 0.557 0.750
0.557 0.443 0.250
0.737 0.263 0.627
0.737 0.263 0.873
```

Calculated values
The calculation puts the mass density at 10.383 Mg/m³. Its final energy is -68.17 eV/f.u. As for the formation energy (no corrections): -1068 meV per atom. The value obtained for the density of states at the Fermi level is 3.35 states/eV/cell. The total magnetization is 0.0 Bohr magnetons per cell.

***

# 3
Pm2ErSbN4 after structural relaxation. Source: Alexandria via LeMat-Bulk, functional PBE-GGA.

Cell and atoms, written as POSCAR:
```
Pm2ErSbN4
1.0
6.121 0.000 0.000
0.000 3.546 0.000
-2.051 0.000 5.828
Pm Er Sb N
2 1 1 4
direct
0.000 0.000 0.000
0.000 0.500 0.500
0.500 0.000 0.500
0.500 0.500 0.000
0.247 0.000 0.739
0.254 0.500 0.261
0.746 0.500 0.739
0.753 0.000 0.261
```

Calculated values
The calculation puts the mass density at 8.335 Mg/m³. Its final energy is -59.04 eV/f.u. As for the formation energy (no corrections): -944 meV per atom. The value obtained for the density of states at the Fermi level is 0.39 states/eV/cell. The total magnetization is 0.0 Bohr magnetons per cell.

***

# 4
Pm2SmErN4 after structural relaxation. Source: Alexandria via LeMat-Bulk, functional PBE-GGA.

Cell and atoms, written as POSCAR:
```
Pm2SmErN4
1.0
6.169 0.000 0.000
0.000 3.563 0.000
-2.051 0.000 5.819
Pm Sm Er N
2 1 1 4
direct
0.000 0.000 0.000
0.500 0.500 0.000
0.000 0.500 0.500
0.500 0.000 0.500
0.253 0.000 0.745
0.257 0.500 0.258
0.743 0.500 0.742
0.747 0.000 0.255
```

Calculated values
The calculation puts the mass density at 8.615 Mg/m³. Its final energy is -64.21 eV/f.u. As for the formation energy (no corrections): -1515 meV per atom. The value obtained for the density of states at the Fermi level is 0.31 states/eV/cell. The total magnetization is 0.0 Bohr magnetons per cell.

***

# 5
PmSmEr2N4 after structural relaxation. Source: Alexandria via LeMat-Bulk, functional PBE-GGA.

Cell and atoms, written as POSCAR:
```
PmSmEr2N4
1.0
6.085 0.000 0.000
0.000 3.515 0.000
-2.025 0.000 5.745
Pm Sm Er N
1 1 2 4
direct
0.000 0.000 0.000
0.500 0.500 0.000
0.000 0.500 0.500
0.500 0.000 0.500
0.247 0.000 0.740
0.254 0.500 0.261
0.746 0.500 0.739
0.753 0.000 0.260
```

Calculated values
The calculation puts the mass density at 9.269 Mg/m³. Its final energy is -64.71 eV/f.u. As for the formation energy (no corrections): -1601 meV per atom. The value obtained for the density of states at the Fermi level is 0.24 states/eV/cell. The total magnetization is 0.0 Bohr magnetons per cell.

***

# 6
Pm2ErSnN4 after structural relaxation. Source: Alexandria via LeMat-Bulk, functional PBE-GGA.

Cell and atoms, written as POSCAR:
```
Pm2ErSnN4
1.0
6.064 0.000 0.000
0.000 3.528 0.000
-2.093 0.000 5.773
Pm Er Sn N
2 1 1 4
direct
0.000 0.000 0.000
0.000 0.500 0.500
0.500 0.000 0.500
0.500 0.500 0.000
0.257 0.500 0.261
0.258 0.000 0.747
0.742 0.000 0.253
0.743 0.500 0.739
```

Calculated values
The calculation puts the mass density at 8.497 Mg/m³. Its final energy is -59.05 eV/f.u. As for the formation energy (no corrections): -960 meV per atom. The value obtained for the density of states at the Fermi level is 3.86 states/eV/cell. The total magnetization is 0.0 Bohr magnetons per cell.

***

# 7
PmEr2TaN4 after structural relaxation. Source: Alexandria via LeMat-Bulk, functional PBE-GGA.

Cell and atoms, written as POSCAR:
```
PmEr2TaN4
1.0
5.818 0.000 0.000
0.000 3.361 0.000
-1.926 0.000 5.561
Pm Er Ta N
1 2 1 4
direct
0.000 0.000 0.000
0.500 0.000 0.500
0.500 0.500 0.000
0.000 0.500 0.500
0.234 0.000 0.725
0.243 0.500 0.277
0.757 0.500 0.723
0.766 0.000 0.275
```

Calculated values
The calculation puts the mass density at 10.940 Mg/m³. Its final energy is -70.74 eV/f.u. As for the formation energy (no corrections): -1464 meV per atom. The value obtained for the density of states at the Fermi level is 2.02 states/eV/cell. The total magnetization is 0.0 Bohr magnetons per cell.

***

# 8
TbPmEr2N4 after structural relaxation. Source: Alexandria via LeMat-Bulk, functional PBE-GGA.

Cell and atoms, written as POSCAR:
```
TbPmEr2N4
1.0
6.049 0.000 0.000
0.000 3.493 0.000
-2.013 0.000 5.707
Tb Pm Er N
1 1 2 4
direct
0.000 0.000 0.000
0.500 0.500 0.000
0.000 0.500 0.500
0.500 0.000 0.500
0.244 0.000 0.741
0.249 0.500 0.256
0.751 0.500 0.744
0.756 0.000 0.259
```

Calculated values
The calculation puts the mass density at 9.562 Mg/m³. Its final energy is -65.00 eV/f.u. As for the formation energy (no corrections): -1649 meV per atom. The value obtained for the density of states at the Fermi level is 0.23 states/eV/cell. The total magnetization is 0.0 Bohr magnetons per cell.

***

# 9
PmEr2TcN4 after structural relaxation. Source: Alexandria via LeMat-Bulk, functional PBE-GGA.

Cell and atoms, written as POSCAR:
```
PmEr2TcN4
1.0
1.718 -5.807 0.000
1.718 5.807 0.000
0.000 0.000 11.508
Pm Er Tc N
2 4 2 8
direct
0.125 0.875 0.750
0.875 0.125 0.250
0.369 0.631 0.540
0.369 0.631 0.960
0.631 0.369 0.040
0.631 0.369 0.460
0.139 0.861 0.250
0.861 0.139 0.750
0.000 0.000 0.000
0.000 0.000 0.500
0.263 0.737 0.127
0.263 0.737 0.373
0.443 0.557 0.750
0.557 0.443 0.250
0.737 0.263 0.627
0.737 0.263 0.873
```

Calculated values
The calculation puts the mass density at 9.165 Mg/m³. Its final energy is -66.54 eV/f.u. As for the formation energy (no corrections): -1124 meV per atom. The value obtained for the density of states at the Fermi level is 3.13 states/eV/cell. The total magnetization is 0.0 Bohr magnetons per cell.

***

# 10
Pm2ErTe2N2 after structural relaxation. Source: Alexandria via LeMat-Bulk, functional PBE-GGA.

Cell and atoms, written as POSCAR:
```
Pm2ErTe2N2
1.0
-2.195 2.195 8.169
2.195 -2.195 8.169
2.195 2.195 -8.169
Pm Er Te N
2 1 2 2
direct
0.102 0.102 0.000
0.898 0.898 0.000
0.500 0.500 0.000
0.314 0.314 0.000
0.686 0.686 0.000
0.000 0.500 0.500
0.500 0.000 0.500
```

Calculated values
The calculation puts the mass density at 7.808 Mg/m³. Its final energy is -45.64 eV/f.u. As for the formation energy (no corrections): -1235 meV per atom. The value obtained for the density of states at the Fermi level is 3.27 states/eV/cell. The total magnetization is 0.0 Bohr magnetons per cell.

***

# 11
Pm2ErThN4 after structural relaxation. Source: Alexandria via LeMat-Bulk, functional PBE-GGA.

Cell and atoms, written as POSCAR:
```
Pm2ErThN4
1.0
6.189 0.000 0.000
0.000 3.592 0.000
-2.053 0.000 5.863
Pm Er Th N
2 1 1 4
direct
0.000 0.000 0.000
0.500 0.500 0.000
0.000 0.500 0.500
0.500 0.000 0.500
0.245 0.000 0.738
0.251 0.500 0.261
0.749 0.500 0.739
0.755 0.000 0.262
```

Calculated values
The calculation puts the mass density at 9.495 Mg/m³. Its final energy is -67.39 eV/f.u. As for the formation energy (no corrections): -1576 meV per atom. The value obtained for the density of states at the Fermi level is 1.77 states/eV/cell. The total magnetization is 0.0 Bohr magnetons per cell.

***

# 12
PmErTh2N4 after structural relaxation. Source: Alexandria via LeMat-Bulk, functional PBE-GGA.

Cell and atoms, written as POSCAR:
```
PmErTh2N4
1.0
6.200 0.000 0.000
0.000 3.607 0.000
-2.094 0.000 5.894
Pm Er Th N
1 1 2 4
direct
0.000 0.000 0.000
0.000 0.500 0.500
0.500 0.000 0.500
0.500 0.500 0.000
0.248 0.000 0.742
0.254 0.500 0.259
0.746 0.500 0.741
0.752 0.000 0.258
```

Calculated values
The calculation puts the mass density at 10.487 Mg/m³. Its final energy is -70.09 eV/f.u. As for the formation energy (no corrections): -1579 meV per atom. The value obtained for the density of states at the Fermi level is 2.76 states/eV/cell. The total magnetization is 0.0 Bohr magnetons per cell.

***

> What is the final energy in the second record?

-68.17 eV/f.u.